No. 1
First-principles (GGA-PBE) data for a relaxed structure of BaNdAuSe3, as listed in OQMD.

E = -29.113 eV per formula unit
V = 174 Å³/f.u.

abc: 9.673 9.673 8.773
angles: 100.92 100.92 25.57
Fractional coordinates of all 12 atoms:
Ba1 0.129 0.129 0.082
Ba2 0.871 0.871 0.918
Nd1 0.163 0.163 0.593
Nd2 0.837 0.837 0.407
Au1 0.457 0.457 0.286
Au2 0.543 0.543 0.714
Se1 0.000 0.000 0.500
Se2 0.317 0.317 0.166
Se3 0.325 0.325 0.633
Se4 0.500 0.500 0.000
Se5 0.675 0.675 0.367
Se6 0.683 0.683 0.834



No. 2
First-principles (GGA-PBE) data for a relaxed structure of BaNdAuSe3, as listed in OQMD.

E = -29.343 eV per formula unit
V = 175 Å³/f.u.

abc: 8.418 4.271 10.140
angles: 90.00 106.64 90.00
Fractional coordinates of all 12 atoms:
Ba1 0.237 0.250 0.283
Ba2 0.763 0.750 0.717
Nd1 0.308 0.750 0.840
Nd2 0.692 0.250 0.160
Au1 0.099 0.250 0.598
Au2 0.901 0.750 0.402
Se1 0.067 0.250 0.850
Se2 0.271 0.750 0.541
Se3 0.440 0.750 0.145
Se4 0.560 0.250 0.855
Se5 0.729 0.250 0.459
Se6 0.933 0.750 0.150



No. 3
First-principles (GGA-PBE) data for a relaxed structure of BaNdTe3Au, as listed in OQMD.

E = -26.489 eV per formula unit
V = 207 Å³/f.u.

abc: 10.381 10.381 9.159
angles: 100.71 100.71 25.31
Fractional coordinates of all 12 atoms:
Ba1 0.126 0.126 0.081
Ba2 0.874 0.874 0.919
Nd1 0.162 0.162 0.594
Nd2 0.838 0.838 0.406
Te1 0.000 0.000 0.500
Te2 0.315 0.315 0.158
Te3 0.324 0.324 0.636
Te4 0.500 0.500 0.000
Te5 0.676 0.676 0.364
Te6 0.685 0.685 0.842
Au1 0.450 0.450 0.290
Au2 0.550 0.550 0.710



No. 4
First-principles (GGA-PBE) data for a relaxed structure of BaNdTe3Au, as listed in OQMD.

E = -26.796 eV per formula unit
V = 208 Å³/f.u.

abc: 8.738 4.539 10.894
angles: 90.00 105.61 90.00
Fractional coordinates of all 12 atoms:
Ba1 0.240 0.250 0.295
Ba2 0.760 0.750 0.705
Nd1 0.305 0.750 0.839
Nd2 0.695 0.250 0.161
Te1 0.057 0.250 0.853
Te2 0.260 0.750 0.543
Te3 0.433 0.750 0.143
Te4 0.567 0.250 0.857
Te5 0.740 0.250 0.457
Te6 0.943 0.750 0.147
Au1 0.099 0.250 0.609
Au2 0.901 0.750 0.391



No. 5
First-principles (GGA-PBE) data for a relaxed structure of BaNiAu2, as listed in OQMD.

E = -13.733 eV per formula unit
V = 91 Å³/f.u.

abc: 5.051 5.051 5.051
angles: 60.00 60.00 60.00
Fractional coordinates of all 4 atoms:
Ba1 0.000 0.000 0.000
Ni1 0.750 0.750 0.750
Au1 0.250 0.250 0.250
Au2 0.500 0.500 0.500



No. 6
First-principles (GGA-PBE) data for a relaxed structure of BaNiAu2S4, as listed in OQMD.

E = -34.700 eV per formula unit
V = 182 Å³/f.u.

abc: 6.239 6.239 6.239
angles: 117.28 112.06 99.56
Fractional coordinates of all 8 atoms:
Ba1 0.000 0.000 0.000
Ni1 0.500 0.500 0.000
Au1 0.308 0.808 0.500
Au2 0.692 0.192 0.500
S1 0.154 0.147 0.625
S2 0.478 0.853 0.007
S3 0.522 0.529 0.375
S4 0.846 0.471 0.993



Which of these has the highest V? number 4